No. 1
First-principles (PBE-GGA) data for a geometry-optimized AgRuAu2 structure, as listed in Alexandria via LeMat-Bulk.

The calculation puts the energy above the lowest structure with this stoichiometry at 0.032 eV per atom. Its formation energy is 0.281 eV/atom.

The structure belongs to space group Cmmm (No. 65); the cell edges are 6.041, 8.098 and 2.756 Å and the angles 90.00°, 90.00° and 90.00°. The asymmetric unit holds Ag at (0.000, 0.000, 0.000), Ru at (0.000, 0.500, 0.000) and Au at (0.250, 0.250, 0.500).

---

No. 2
First-principles (PBE-GGA) data for a geometry-optimized MnBeNb structure, as listed in Alexandria via LeMat-Bulk.

The calculation puts the energy above the lowest structure with this stoichiometry at 0.000 eV per atom. Its formation energy is -0.187 eV/atom.

The structure belongs to space group Imma (No. 74); the cell edges are 4.664, 4.770 and 6.658 Å and the angles 90.00°, 90.00° and 90.00°. The asymmetric unit holds Mn at (0.250, 0.250, 0.250), Be at (0.000, 0.000, 0.000) and Nb at (0.000, 0.250, 0.625).

---

No. 3
First-principles (PBE-GGA) data for a geometry-optimized VAg2Se5 structure, as listed in Alexandria via LeMat-Bulk.

The value obtained for the calculated total energy is -33.7 eV per cell.

The structure belongs to space group P1 (No. 1); the cell edges are 6.086, 6.283 and 6.339 Å and the angles 62.16°, 70.62° and 81.74°. The asymmetric unit holds V at (0.000, 0.000, 0.000), Ag at (0.037, 0.417, 0.422), Ag at (0.388, 0.787, 0.344), Se at (0.006, 0.014, 0.354), Se at (0.348, 0.798, 0.792), Se at (0.362, 0.214, 0.661), Se at (0.741, 0.298, 0.890) and Se at (0.777, 0.646, 0.135).

---

No. 4
First-principles (PBE-GGA) data for a geometry-optimized Pm8C3SI3 structure, as listed in Alexandria via LeMat-Bulk.

The value obtained for the calculated total energy is -173.3 eV per cell.

The structure belongs to space group C2/m (No. 12); the cell edges are 13.567, 7.825 and 8.723 Å and the angles 90.00°, 121.25° and 90.00°. The asymmetric unit holds Pm at (0.028, 0.230, 0.314), Pm at (0.225, 0.000, 0.675), Pm at (0.242, 0.500, 0.686), C at (0.000, 0.000, 0.500), C at (0.250, 0.250, 0.500), S at (0.000, 0.500, 0.500), I at (0.000, 0.500, 0.000) and I at (0.250, 0.250, 0.000).

---

No. 5
First-principles (PBE-GGA) data for a geometry-optimized LaTa2Pb structure, as listed in Alexandria via LeMat-Bulk.

Its formation energy is 0.725 eV/atom.

The structure belongs to space group R-3m (No. 166, hexagonal axes); the cell edges are 3.1963, 3.1963 and 31.7478 Å and the angles 90.00°, 90.00° and 120.00°. The asymmetric unit holds La at (0.0000, 0.0000, 0.0000), Ta at (0.0000, 0.0000, 0.2439) and Pb at (0.0000, 0.0000, 0.5000).

---

No. 6
First-principles (PBE-GGA) data for a geometry-optimized Sc5TiCu6 structure, as listed in Alexandria via LeMat-Bulk.

Its formation energy is -0.226 eV/atom.

The structure belongs to space group C2/m (No. 12); the cell edges are 14.450, 6.433 and 4.579 Å and the angles 90.00°, 108.38° and 90.00°. The asymmetric unit holds Sc at (0.000, 0.000, 0.000), Sc at (0.163, 0.000, 0.663), Sc at (0.173, 0.500, 0.671), Ti at (0.000, 0.500, 0.000), Cu at (0.000, 0.281, 0.500) and Cu at (0.159, 0.268, 0.156).

---

Number 1: total magnetic moment 0.00 μB per atom. Number 2: total magnetic moment 0.00 μB per atom. Number 3: total magnetic moment 0.00 μB per atom. Number 4: total magnetic moment 0.00 μB per atom. Number 5: total magnetic moment 0.00 μB per atom. Number 6: total magnetic moment 0.00 μB per atom.